Entry 1:
The following is a PBE calculation of a relaxed structure of Fe2SbRu, from Alexandria.

DOS(E_F) = 0.888 states/eV/atom
crystal system = tetragonal

The structure in extended XYZ format:
```
4
Lattice="3.798 0.000 0.000 0.000 3.798 0.000 0.000 0.000 4.057" Properties=species:S:1:pos:R:3 pbc="T T T"
Fe 0.000 1.899 0.000
Fe 1.899 0.000 0.000
Sb 0.000 0.000 2.029
Ru 1.899 1.899 2.029
```


Entry 2:
The following is a PBE calculation of a relaxed structure of SmZnGa2Pd, from Alexandria.

formation energy from the elements = -0.631 eV/atom
DOS(E_F) = 0.540 states/eV/atom
crystal system = tetragonal

The structure in extended XYZ format:
```
10
Lattice="4.245 0.000 0.000 0.000 4.245 0.000 0.000 0.000 10.537" Properties=species:S:1:pos:R:3 pbc="T T T"
Sm 0.000 0.000 0.000
Sm 2.123 2.123 5.269
Zn 0.000 2.123 7.903
Zn 2.123 0.000 2.634
Ga 0.000 0.000 4.033
Ga 0.000 0.000 6.505
Ga 2.123 2.123 1.236
Ga 2.123 2.123 9.301
Pd 0.000 2.123 2.634
Pd 2.123 0.000 7.903
```


Entry 3:
The following is a PBE calculation of a relaxed structure of Ce2FeH, from Alexandria.

energy above the lowest structure with this stoichiometry = 0.00 eV/f.u.
DOS(E_F) = 1.242 states/eV/atom
crystal system = trigonal

The structure in extended XYZ format:
```
12
Lattice="3.873 0.000 0.000 -1.936 3.354 0.000 0.000 0.000 16.814" Properties=species:S:1:pos:R:3 pbc="T T T"
Ce 0.000 0.000 4.163
Ce 0.000 0.000 12.651
Ce 0.000 2.236 7.047
Ce 0.000 2.236 15.372
Ce 1.936 1.118 1.442
Ce 1.936 1.118 9.767
Fe 0.000 0.000 0.000
Fe 0.000 2.236 11.209
Fe 1.936 1.118 5.605
H 0.000 0.000 8.407
H 0.000 2.236 2.802
H 1.936 1.118 14.011
```


Entry 4:
The following is a PBE calculation of a relaxed structure of Ho4CdRu, from Alexandria.

formation energy from the elements = -0.151 eV/atom
energy above the lowest structure with this stoichiometry = 1.16 eV/f.u.
DOS(E_F) = 0.794 states/eV/atom
crystal system = monoclinic

The structure in extended XYZ format:
```
12
Lattice="8.189 0.000 0.000 0.000 7.150 0.000 -1.167 0.000 5.776" Properties=species:S:1:pos:R:3 pbc="T T T"
Ho 0.611 1.007 2.396
Ho 0.028 2.568 5.283
Ho 1.884 4.467 2.575
Ho 1.300 6.258 5.463
Ho 5.721 0.892 0.313
Ho 5.137 2.683 3.201
Ho 6.994 4.582 0.492
Ho 6.410 6.143 3.380
Cd 3.511 0.000 2.888
Cd 4.094 3.575 0.000
Ru 0.000 0.000 0.000
Ru -0.584 3.575 2.888
```


Entry 5:
The following is a PBE calculation of a relaxed structure of LaAl2H4, from Alexandria.

DOS(E_F) = 0.324 states/eV/atom
crystal system = tetragonal

The structure in extended XYZ format:
```
14
Lattice="4.367 0.000 0.000 0.000 4.367 0.000 0.000 0.000 10.780" Properties=species:S:1:pos:R:3 pbc="T T T"
La 0.000 0.000 0.000
La 2.184 2.184 5.390
Al 0.000 0.000 4.032
Al 0.000 0.000 6.748
Al 2.184 2.184 1.358
Al 2.184 2.184 9.423
H 0.000 0.000 2.329
H 0.000 0.000 8.452
H 0.000 2.184 0.000
H 0.000 2.184 5.390
H 2.184 0.000 0.000
H 2.184 0.000 5.390
H 2.184 2.184 3.062
H 2.184 2.184 7.719
```


Entry 6:
The following is a PBE calculation of a relaxed structure of Ca2SbAuF, from Alexandria.

DOS(E_F) = 0.322 states/eV/atom
crystal system = tetragonal

The structure in extended XYZ format:
```
5
Lattice="5.808 0.000 0.000 0.000 5.808 0.000 0.000 0.000 5.082" Properties=species:S:1:pos:R:3 pbc="T T T"
Ca 0.000 2.904 0.000
Ca 2.904 0.000 0.000
Sb 0.000 0.000 2.541
Au 0.000 0.000 0.000
F 2.904 2.904 2.541
```


Entry 7:
The following is a PBE calculation of a relaxed structure of BaSbAu2, from Alexandria.

DOS(E_F) = 0.589 states/eV/atom
crystal system = tetragonal

The structure in extended XYZ format:
```
8
Lattice="4.437 0.000 0.000 0.000 4.437 0.000 0.000 0.000 11.458" Properties=species:S:1:pos:R:3 pbc="T T T"
Ba 0.000 0.000 0.000
Ba 2.219 2.219 5.729
Sb 0.000 2.219 8.593
Sb 2.219 0.000 2.864
Au 0.000 0.000 5.729
Au 0.000 2.219 2.864
Au 2.219 0.000 8.593
Au 2.219 2.219 0.000
```


Entry 8:
The following is a PBE calculation of a relaxed structure of Si2AgBO6, from Alexandria.

DOS(E_F) = 0.000 states/eV/atom
crystal system = monoclinic

The structure in extended XYZ format:
```
20
Lattice="4.954 -5.200 0.000 4.954 5.200 0.000 -2.687 0.000 4.770" Properties=species:S:1:pos:R:3 pbc="T T T"
Si 1.811 0.878 0.506
Si 0.467 -0.878 2.891
Si 6.752 0.878 1.879
Si 5.409 -0.878 4.264
Ag 2.938 1.367 3.578
Ag 4.282 -1.367 1.193
B 4.282 2.342 1.193
B 2.938 -2.342 3.578
O 1.439 3.124 4.744
O -0.352 0.055 3.960
O 0.992 -0.055 1.575
O 3.091 1.444 1.378
O 4.437 3.124 2.411
O 5.472 1.444 1.007
O 1.748 -1.444 3.763
O 2.783 -3.124 2.359
O 4.128 -1.444 3.392
O 6.228 0.055 3.195
O 7.572 -0.055 0.810
O 5.781 -3.124 0.026
```


Entry 9:
The following is a PBE calculation of a relaxed structure of NaFeCl4, from Alexandria.

energy above the lowest structure with this stoichiometry = 0.00 eV/f.u.
crystal system = orthorhombic

The structure in extended XYZ format:
```
24
Lattice="6.347 0.000 0.000 0.000 10.507 0.000 0.000 0.000 10.861" Properties=species:S:1:pos:R:3 pbc="T T T"
Na 0.750 0.130 3.898
Na 2.423 10.378 9.329
Na 3.923 5.124 6.963
Na 5.597 5.383 1.532
Fe 0.536 2.540 7.725
Fe 2.637 7.968 2.295
Fe 3.709 2.714 3.136
Fe 5.810 7.793 8.566
Cl 1.211 4.385 6.712
Cl 1.301 0.705 6.706
Cl 1.349 2.437 9.770
Cl 1.501 2.720 3.126
Cl 1.672 7.788 8.557
Cl 1.825 8.071 4.339
Cl 1.872 9.802 1.276
Cl 1.962 6.122 1.281
Cl 4.385 0.869 4.149
Cl 4.474 4.549 4.155
Cl 4.522 2.817 1.091
Cl 4.674 2.534 7.735
Cl 4.846 7.974 2.304
Cl 4.998 7.691 6.522
Cl 5.046 5.959 9.585
Cl 5.135 9.639 9.580
```


Entry 10:
The following is a PBE calculation of a relaxed structure of Ni2OsPb, from Alexandria.

formation energy from the elements = 0.554 eV/atom
DOS(E_F) = 1.605 states/eV/atom
crystal system = orthorhombic

The structure in extended XYZ format:
```
8
Lattice="5.509 0.000 0.000 0.000 7.336 0.000 0.000 0.000 2.946" Properties=species:S:1:pos:R:3 pbc="T T T"
Ni 1.377 1.834 0.000
Ni 1.377 5.502 0.000
Ni 4.132 1.834 0.000
Ni 4.132 5.502 0.000
Os 0.000 0.000 1.473
Os 2.755 3.668 1.473
Pb 0.000 3.668 1.473
Pb 2.755 0.000 1.473
```


Entry 11:
The following is a PBE calculation of a relaxed structure of Ta2TcRu, from Alexandria.

formation energy from the elements = -0.041 eV/atom
DOS(E_F) = 1.268 states/eV/atom
crystal system = cubic

The structure in extended XYZ format:
```
16
Lattice="6.363 0.000 0.000 0.000 6.363 0.000 0.000 0.000 6.363" Properties=species:S:1:pos:R:3 pbc="T T T"
Ta 0.000 0.000 0.000
Ta 0.000 3.181 3.181
Ta 1.591 1.591 1.591
Ta 1.591 4.772 4.772
Ta 3.181 0.000 3.181
Ta 3.181 3.181 0.000
Ta 4.772 1.591 4.772
Ta 4.772 4.772 1.591
Tc 1.591 1.591 4.772
Tc 1.591 4.772 1.591
Tc 4.772 1.591 1.591
Tc 4.772 4.772 4.772
Ru 0.000 0.000 3.181
Ru 0.000 3.181 0.000
Ru 3.181 0.000 0.000
Ru 3.181 3.181 3.181
```


Entry 12:
The following is a PBE calculation of a relaxed structure of Pr2Nd3Ho7, from Alexandria.

formation energy from the elements = 0.087 eV/atom
DOS(E_F) = 1.470 states/eV/atom
crystal system = monoclinic

The structure in extended XYZ format:
```
12
Lattice="6.388 0.000 0.000 0.000 3.550 0.000 -1.922 0.000 17.542" Properties=species:S:1:pos:R:3 pbc="T T T"
Pr 0.006 0.000 3.050
Pr 4.460 0.000 14.492
Nd 1.294 1.775 14.748
Nd 2.233 0.000 8.771
Nd 3.171 1.775 2.794
Ho -0.961 1.775 8.771
Ho 0.167 0.000 11.651
Ho 1.626 0.000 0.008
Ho 1.093 1.775 5.914
Ho 3.373 1.775 11.627
Ho 2.839 0.000 17.533
Ho 4.299 0.000 5.890
```


Entry 13:
The following is a PBE calculation of a relaxed structure of TlTeRu2, from Alexandria.

energy above the lowest structure with this stoichiometry = 0.00 eV/f.u.
DOS(E_F) = 1.086 states/eV/atom
crystal system = orthorhombic

The structure in extended XYZ format:
```
4
Lattice="3.004 0.000 0.000 0.000 3.846 0.000 0.000 0.000 7.413" Properties=species:S:1:pos:R:3 pbc="T T T"
Tl 0.000 0.000 0.000
Te 1.502 1.923 4.282
Ru 0.000 0.000 2.917
Ru 1.502 1.923 1.649
```


Entry 14:
The following is a PBE calculation of a relaxed structure of Na2CaAg2, from Alexandria.

formation energy from the elements = -0.029 eV/atom
energy above the lowest structure with this stoichiometry = 0.26 eV/f.u.
DOS(E_F) = 0.266 states/eV/atom
crystal system = tetragonal

The structure in extended XYZ format:
```
10
Lattice="7.966 0.000 0.000 0.000 7.966 0.000 0.000 0.000 4.307" Properties=species:S:1:pos:R:3 pbc="T T T"
Na 1.288 2.695 0.000
Na 2.695 6.678 0.000
Na 5.271 1.288 0.000
Na 6.678 5.271 0.000
Ca 0.000 0.000 2.153
Ca 3.983 3.983 2.153
Ag 1.009 4.992 2.153
Ag 2.974 1.009 2.153
Ag 4.992 6.957 2.153
Ag 6.957 2.974 2.153
```


Entry 15:
The following is a PBE calculation of a relaxed structure of YHgN, from Alexandria.

DOS(E_F) = 0.002 states/eV/atom
crystal system = monoclinic

The structure in extended XYZ format:
```
12
Lattice="11.935 0.000 0.000 0.000 3.586 0.000 -3.185 0.000 6.007" Properties=species:S:1:pos:R:3 pbc="T T T"
Y 2.290 0.000 1.214
Y 0.492 1.793 4.793
Y 8.258 1.793 1.214
Y 6.460 0.000 4.793
Hg -0.446 1.793 1.591
Hg 3.229 0.000 4.416
Hg 5.521 0.000 1.591
Hg 9.196 1.793 4.416
N -0.826 0.000 4.964
N 3.608 1.793 1.044
N 5.142 1.793 4.964
N 9.576 0.000 1.044
```


Entry 16:
The following is a PBE calculation of a relaxed structure of TeICl, from Alexandria.

energy above the lowest structure with this stoichiometry = 0.03 eV/f.u.
crystal system = triclinic

The structure in extended XYZ format:
```
6
Lattice="5.363 0.000 0.000 -1.101 6.662 0.000 -1.114 -1.485 7.989" Properties=species:S:1:pos:R:3 pbc="T T T"
Te -0.284 -0.271 2.680
Te 3.431 5.448 5.310
I -0.084 4.049 2.140
I 3.231 1.128 5.849
Cl 1.375 1.216 1.486
Cl 1.773 3.962 6.503
```


Entry 17:
The following is a PBE calculation of a relaxed structure of BaGaAgPb, from Alexandria.

formation energy from the elements = -0.217 eV/atom
DOS(E_F) = 0.353 states/eV/atom
crystal system = cubic

The structure in extended XYZ format:
```
16
Lattice="7.672 0.000 0.000 0.000 7.672 0.000 0.000 0.000 7.672" Properties=species:S:1:pos:R:3 pbc="T T T"
Ba 0.000 0.000 0.000
Ba 0.000 3.836 3.836
Ba 3.836 0.000 3.836
Ba 3.836 3.836 0.000
Ga 1.918 1.918 5.754
Ga 1.918 5.754 1.918
Ga 5.754 1.918 1.918
Ga 5.754 5.754 5.754
Ag 1.918 1.918 1.918
Ag 1.918 5.754 5.754
Ag 5.754 1.918 5.754
Ag 5.754 5.754 1.918
Pb 0.000 0.000 3.836
Pb 0.000 3.836 0.000
Pb 3.836 0.000 0.000
Pb 3.836 3.836 3.836
```


Entry 18:
The following is a PBE calculation of a relaxed structure of Cs2K2HgBi2, from Alexandria.

formation energy from the elements = -0.333 eV/atom
DOS(E_F) = 0.092 states/eV/atom
crystal system = monoclinic

The structure in extended XYZ format:
```
14
Lattice="10.888 0.000 0.000 0.000 6.440 0.000 -4.131 0.000 8.816" Properties=species:S:1:pos:R:3 pbc="T T T"
Cs 1.810 0.000 1.087
Cs -0.498 3.220 7.728
Cs 7.254 3.220 1.087
Cs 4.946 0.000 7.728
K -0.072 3.220 3.627
K 1.384 0.000 5.188
K 5.372 0.000 3.627
K 6.828 3.220 5.188
Hg 0.000 3.220 0.000
Hg 5.444 0.000 0.000
Bi -2.293 0.000 5.961
Bi 3.605 3.220 2.855
Bi 3.151 3.220 5.961
Bi 9.049 0.000 2.855
```


Entry 19:
The following is a PBE calculation of a relaxed structure of KLa3Br, from Alexandria.

energy above the lowest structure with this stoichiometry = 5.04 eV/f.u.
DOS(E_F) = 1.544 states/eV/atom
crystal system = cubic

The structure in extended XYZ format:
```
5
Lattice="5.855 0.000 0.000 0.000 5.855 0.000 0.000 0.000 5.855" Properties=species:S:1:pos:R:3 pbc="T T T"
K 0.000 0.000 0.000
La 0.000 0.000 2.928
La 0.000 2.928 0.000
La 2.928 0.000 0.000
Br 2.928 2.928 2.928
```


Entry 20:
The following is a PBE calculation of a relaxed structure of PmNpRh2, from Alexandria.

formation energy from the elements = -0.398 eV/atom
energy above the lowest structure with this stoichiometry = 0.30 eV/f.u.
DOS(E_F) = 1.752 states/eV/atom
crystal system = cubic

The structure in extended XYZ format:
```
16
Lattice="6.920 0.000 0.000 0.000 6.920 0.000 0.000 0.000 6.920" Properties=species:S:1:pos:R:3 pbc="T T T"
Pm 0.000 0.000 0.000
Pm 0.000 3.460 3.460
Pm 3.460 0.000 3.460
Pm 3.460 3.460 0.000
Np 0.000 0.000 3.460
Np 0.000 3.460 0.000
Np 3.460 0.000 0.000
Np 3.460 3.460 3.460
Rh 1.730 1.730 1.730
Rh 1.730 1.730 5.190
Rh 1.730 5.190 1.730
Rh 1.730 5.190 5.190
Rh 5.190 1.730 1.730
Rh 5.190 1.730 5.190
Rh 5.190 5.190 1.730
Rh 5.190 5.190 5.190
```


| no. | final energy (eV per atom) |
| --- | --- |
| 1 | -7.4419 |
| 2 | -4.0785 |
| 3 | -6.0349 |
| 4 | -4.9011 |
| 5 | -3.5348 |
| 6 | -3.4118 |
| 7 | -3.4431 |
| 8 | -7.2594 |
| 9 | -3.9910 |
| 10 | -6.0709 |
| 11 | -10.8778 |
| 12 | -4.5719 |
| 13 | -5.6409 |
| 14 | -2.0978 |
| 15 | -5.6449 |
| 16 | -2.3548 |
| 17 | -3.0947 |
| 18 | -2.0425 |
| 19 | -2.6513 |
| 20 | -8.4970 |